Here is a relaxed Tb4Te2IrSe crystal from the Alexandria database. Energies are from PBE.

```
Tb4Te2IrSe
1.0
7.428 0.000 0.000
0.000 4.158 0.000
-2.376 0.000 7.143
Tb Te Ir Se
4 2 1 1
Direct
0.218 0.000 0.207
0.245 0.500 0.781
0.755 0.500 0.219
0.782 0.000 0.793
0.000 0.000 0.500
0.500 0.500 0.500
0.000 0.500 0.000
0.500 0.000 0.000
```

Summary:
**V**: 27.6 Å³ per atom
**VASP energy**: -5.9802 eV per atom

=====

Here is a relaxed Tb6TeIr2Se3 crystal from the Alexandria database. Energies are from PBE.

```
Tb6TeIr2Se3
1.0
9.160 -2.040 0.000
9.160 2.040 0.000
-2.261 0.000 8.258
Tb Te Ir Se
6 1 2 3
Direct
0.016 0.016 0.272
0.323 0.323 0.875
0.328 0.328 0.422
0.672 0.672 0.578
0.677 0.677 0.125
0.984 0.984 0.728
0.500 0.500 0.000
0.171 0.171 0.347
0.829 0.829 0.653
0.158 0.158 0.845
0.500 0.500 0.500
0.842 0.842 0.155
```

Summary:
**V**: 25.7 Å³ per atom
**VASP energy**: -6.2992 eV per atom

=====

Here is a relaxed TcIr2Se crystal from the Alexandria database. Energies are from PBE.

```
TcIr2Se
1.0
-2.050 2.050 3.606
2.050 -2.050 3.606
2.050 2.050 -3.606
Tc Ir Se
1 2 1
Direct
0.000 0.000 0.000
0.250 0.750 0.500
0.500 0.500 0.000
0.750 0.250 0.500
```

Summary:
**V**: 15.2 Å³ per atom
**VASP energy**: -7.4582 eV per atom

=====

Here is a relaxed TcIr2Se crystal from the Alexandria database. Energies are from PBE.

```
TcIr2Se
1.0
2.826 0.000 0.000
0.000 4.200 0.000
-1.342 0.000 5.109
Tc Ir Se
1 2 1
Direct
0.000 0.000 0.000
0.372 0.500 0.749
0.628 0.500 0.251
0.000 0.000 0.500
```

Summary:
**V**: 15.2 Å³ per atom
**VASP energy**: -7.5976 eV per atom

=====

Here is a relaxed TcIr2Se crystal from the Alexandria database. Energies are from PBE.

```
TcIr2Se
1.0
2.832 0.000 0.000
0.000 3.829 0.000
0.000 0.000 5.636
Tc Ir Se
1 2 1
Direct
0.000 0.000 0.000
0.500 0.500 0.234
0.500 0.500 0.766
0.000 0.000 0.500
```

Summary:
**V**: 15.3 Å³ per atom
**VASP energy**: -7.6032 eV per atom

=====

Here is a relaxed TcIrSe crystal from the Alexandria database. Energies are from PBE.

```
TcIrSe
1.0
-1.462 1.462 5.513
1.462 -1.462 5.513
1.462 1.462 -5.513
Tc Ir Se
1 1 1
Direct
0.000 0.000 0.000
0.346 0.346 0.000
0.650 0.650 0.000
```

Summary:
**V**: 15.7 Å³ per atom
**VASP energy**: -7.3414 eV per atom
**ΔE to the lowest computed polymorph**: 93 meV/atom